No. 1
Compound: Ru3Rh
Source: Alexandria
Functional: SCAN
Structure: PBEsol geometry

Computed properties:
VASP energy in eV/atom: -34.472
Energy of formation from the pure elements in eV/atom: 0.091
Crystal system: monoclinic

```
data_Ru3Rh
_chemical_formula_sum 'Ru6 Rh2'
_space_group_name_H-M_alt 'C 1 2/m 1'
_space_group_IT_number 12
_cell_length_a 8.8325
_cell_length_b 2.6589
_cell_length_c 4.6171
_cell_angle_alpha 90.00
_cell_angle_beta 99.96
_cell_angle_gamma 90.00
loop_
_space_group_symop_operation_xyz
'x,y,z'
'-x,-y,-z'
'-x,y,-z'
'x,-y,z'
'x+1/2,y+1/2,z'
'-x+1/2,-y+1/2,-z'
'-x+1/2,y+1/2,-z'
'x+1/2,-y+1/2,z'
loop_
_atom_site_label
_atom_site_type_symbol
_atom_site_fract_x
_atom_site_fract_y
_atom_site_fract_z
_atom_site_occupancy
Ru1 Ru 0.0000 0.0000 0.0000 1
Ru2 Ru 0.2486 0.5000 0.2458 1
Rh1 Rh 0.0000 0.5000 0.5000 1
```

***

No. 2
Compound: LaCd2Se
Source: Alexandria
Functional: SCAN
Structure: PBEsol geometry

Computed properties:
VASP energy in eV/atom: -31.888
E_form (uncorrected) in eV/atom: -0.8851
Crystal system: tetragonal

```
data_LaCd2Se
_chemical_formula_sum 'La2 Cd4 Se2'
_space_group_name_H-M_alt 'I 4/m m m'
_space_group_IT_number 139
_space_group_name_Hall '-I 4 2'
_cell_length_a 4.1749
_cell_length_b 4.1749
_cell_length_c 11.5349
_cell_angle_alpha 90.00
_cell_angle_beta 90.00
_cell_angle_gamma 90.00
loop_
_atom_site_label
_atom_site_type_symbol
_atom_site_fract_x
_atom_site_fract_y
_atom_site_fract_z
_atom_site_occupancy
La1 La 0.0000 0.0000 0.0000 1
Cd1 Cd 0.0000 0.5000 0.2500 1
Se1 Se 0.0000 0.0000 0.5000 1
```